[1]
Ba2MgZn: optimized geometry, PBE.

Properties
DOS(E_F) = 2.58 states/eV/cell
Formation energy from the elements = -21 meV/atom
E = -6.80 eV per cell

Geometry as CIF:
```
data_Ba2MgZn
_chemical_formula_sum 'Ba2 Mg1 Zn1'
_cell_length_a 4.070
_cell_length_b 4.070
_cell_length_c 9.386
_cell_angle_alpha 90.00
_cell_angle_beta 90.00
_cell_angle_gamma 90.00
_space_group_name_H-M_alt 'P 4 m m'
_space_group_IT_number 99
_space_group_name_Hall 'P 4 -2'
loop_
_atom_site_label
_atom_site_type_symbol
_atom_site_fract_x
_atom_site_fract_y
_atom_site_fract_z
_atom_site_occupancy
Ba1 Ba 0.000 0.000 0.000 1
Ba2 Ba 0.500 0.500 0.393 1
Mg1 Mg 0.000 0.000 0.637 1
Zn1 Zn 0.500 0.500 0.771 1
```

[2]
Ba2MgZn: optimized geometry, PBE.

Properties
DOS(E_F) = 2.19 states/eV/cell
Formation energy from the elements = 41 meV/atom
E = -13.10 eV per cell

Geometry as CIF:
```
data_Ba2MgZn
_chemical_formula_sum 'Ba4 Mg2 Zn2'
_cell_length_a 5.747
_cell_length_b 5.747
_cell_length_c 8.085
_cell_angle_alpha 90.00
_cell_angle_beta 90.00
_cell_angle_gamma 90.00
_space_group_name_H-M_alt 'I -4 m 2'
_space_group_IT_number 119
_space_group_name_Hall 'I -4 -2'
loop_
_atom_site_label
_atom_site_type_symbol
_atom_site_fract_x
_atom_site_fract_y
_atom_site_fract_z
_atom_site_occupancy
Ba1 Ba 0.000 0.000 0.000 1
Ba2 Ba 0.000 0.500 0.250 1
Mg1 Mg 0.000 0.000 0.500 1
Zn1 Zn 0.000 0.500 0.750 1
```

[3]
Ba4Mg2Zn5: optimized geometry, PBE.

Properties
DOS(E_F) = 32.67 states/eV/cell
Formation energy from the elements = -73 meV/atom
E = -72.20 eV per cell

Geometry as CIF:
```
data_Ba4Mg2Zn5
_chemical_formula_sum 'Ba16 Mg8 Zn20'
_cell_length_a 10.158
_cell_length_b 21.756
_cell_length_c 6.266
_cell_angle_alpha 90.00
_cell_angle_beta 90.00
_cell_angle_gamma 90.00
_space_group_name_H-M_alt 'I b a m'
_space_group_IT_number 72
_space_group_name_Hall '-I 2 2c'
loop_
_atom_site_label
_atom_site_type_symbol
_atom_site_fract_x
_atom_site_fract_y
_atom_site_fract_z
_atom_site_occupancy
Ba1 Ba 0.129 0.159 0.000 1
Ba2 Ba 0.223 0.437 0.000 1
Mg1 Mg 0.000 0.307 0.250 1
Zn1 Zn 0.000 0.000 0.250 1
Zn2 Zn 0.088 0.416 0.500 1
Zn3 Zn 0.186 0.219 0.500 1
```

[4]
Ba2MgZn5: optimized geometry, PBE.

Properties
DOS(E_F) = 4.82 states/eV/cell
Formation energy from the elements = -144 meV/atom
E = -12.96 eV per cell

Geometry as CIF:
```
data_Ba2MgZn5
_chemical_formula_sum 'Ba2 Mg1 Zn5'
_cell_length_a 6.051
_cell_length_b 6.483
_cell_length_c 6.615
_cell_angle_alpha 102.29
_cell_angle_beta 109.78
_cell_angle_gamma 112.17
_space_group_name_H-M_alt 'P 1'
_space_group_IT_number 1
_space_group_name_Hall 'P 1'
loop_
_atom_site_label
_atom_site_type_symbol
_atom_site_fract_x
_atom_site_fract_y
_atom_site_fract_z
_atom_site_occupancy
Ba1 Ba 0.000 0.000 0.000 1
Ba2 Ba 0.203 0.524 0.729 1
Mg1 Mg 0.463 0.122 0.640 1
Zn1 Zn 0.321 0.684 0.297 1
Zn2 Zn 0.584 0.466 0.436 1
Zn3 Zn 0.619 0.075 0.261 1
Zn4 Zn 0.789 0.442 0.123 1
Zn5 Zn 0.877 0.859 0.423 1
```

[5]
Ba2Mg2Zn3: optimized geometry, PBE.

Properties
DOS(E_F) = 8.99 states/eV/cell
Formation energy from the elements = -109 meV/atom
E = -23.24 eV per cell

Geometry as CIF:
```
data_Ba2Mg2Zn3
_chemical_formula_sum 'Ba4 Mg4 Zn6'
_cell_length_a 12.508
_cell_length_b 4.889
_cell_length_c 7.475
_cell_angle_alpha 90.00
_cell_angle_beta 123.03
_cell_angle_gamma 90.00
_space_group_name_H-M_alt 'C 1 2/m 1'
_space_group_IT_number 12
_space_group_name_Hall '-C 2y'
loop_
_atom_site_label
_atom_site_type_symbol
_atom_site_fract_x
_atom_site_fract_y
_atom_site_fract_z
_atom_site_occupancy
Ba1 Ba 0.158 0.000 0.282 1
Mg1 Mg 0.147 0.000 0.781 1
Zn1 Zn 0.000 0.500 0.500 1
Zn2 Zn 0.072 0.500 0.903 1
```

[6]
Ba2Mg5Zn4: optimized geometry, PBE.

Properties
DOS(E_F) = 14.22 states/eV/cell
Formation energy from the elements = -100 meV/atom
E = -36.02 eV per cell

Geometry as CIF:
```
data_Ba2Mg5Zn4
_chemical_formula_sum 'Ba4 Mg10 Zn8'
_cell_length_a 13.666
_cell_length_b 6.361
_cell_length_c 8.704
_cell_angle_alpha 90.00
_cell_angle_beta 127.36
_cell_angle_gamma 90.00
_space_group_name_H-M_alt 'C 1 2/m 1'
_space_group_IT_number 12
_space_group_name_Hall '-C 2y'
loop_
_atom_site_label
_atom_site_type_symbol
_atom_site_fract_x
_atom_site_fract_y
_atom_site_fract_z
_atom_site_occupancy
Ba1 Ba 0.218 0.000 0.156 1
Mg1 Mg 0.000 0.500 0.000 1
Mg2 Mg 0.047 0.250 0.355 1
Zn1 Zn 0.132 0.000 0.693 1
Zn2 Zn 0.226 0.500 0.393 1
```

[7]
BaMgZn2: optimized geometry, PBE.

Properties
DOS(E_F) = 4.82 states/eV/cell
Formation energy from the elements = 37 meV/atom
E = -11.83 eV per cell

Geometry as CIF:
```
data_BaMgZn2
_chemical_formula_sum 'Ba2 Mg2 Zn4'
_cell_length_a 5.210
_cell_length_b 5.210
_cell_length_c 7.485
_cell_angle_alpha 90.00
_cell_angle_beta 90.00
_cell_angle_gamma 90.00
_space_group_name_H-M_alt 'I -4 m 2'
_space_group_IT_number 119
_space_group_name_Hall 'I -4 -2'
loop_
_atom_site_label
_atom_site_type_symbol
_atom_site_fract_x
_atom_site_fract_y
_atom_site_fract_z
_atom_site_occupancy
Ba1 Ba 0.000 0.000 0.000 1
Mg1 Mg 0.000 0.500 0.750 1
Zn1 Zn 0.000 0.000 0.500 1
Zn2 Zn 0.000 0.500 0.250 1
```

[8]
BaMgZn2: optimized geometry, PBE.

Properties
DOS(E_F) = 4.65 states/eV/cell
Formation energy from the elements = 7 meV/atom
E = -12.07 eV per cell

Geometry as CIF:
```
data_BaMgZn2
_chemical_formula_sum 'Ba2 Mg2 Zn4'
_cell_length_a 5.085
_cell_length_b 5.145
_cell_length_c 8.000
_cell_angle_alpha 90.00
_cell_angle_beta 90.00
_cell_angle_gamma 90.00
_space_group_name_H-M_alt 'C m m 2'
_space_group_IT_number 35
_space_group_name_Hall 'C 2 -2'
loop_
_atom_site_label
_atom_site_type_symbol
_atom_site_fract_x
_atom_site_fract_y
_atom_site_fract_z
_atom_site_occupancy
Ba1 Ba 0.000 0.000 0.000 1
Mg1 Mg 0.000 0.500 0.357 1
Zn1 Zn 0.000 0.000 0.554 1
Zn2 Zn 0.000 0.500 0.709 1
```

Please write out number 6 again, unchanged.
Ba2Mg5Zn4: optimized geometry, PBE.

Properties
DOS(E_F) = 14.22 states/eV/cell
Formation energy from the elements = -100 meV/atom
E = -36.02 eV per cell

Geometry as CIF:
```
data_Ba2Mg5Zn4
_chemical_formula_sum 'Ba4 Mg10 Zn8'
_cell_length_a 13.666
_cell_length_b 6.361
_cell_length_c 8.704
_cell_angle_alpha 90.00
_cell_angle_beta 127.36
_cell_angle_gamma 90.00
_space_group_name_H-M_alt 'C 1 2/m 1'
_space_group_IT_number 12
_space_group_name_Hall '-C 2y'
loop_
_atom_site_label
_atom_site_type_symbol
_atom_site_fract_x
_atom_site_fract_y
_atom_site_fract_z
_atom_site_occupancy
Ba1 Ba 0.218 0.000 0.156 1
Mg1 Mg 0.000 0.500 0.000 1
Mg2 Mg 0.047 0.250 0.355 1
Zn1 Zn 0.132 0.000 0.693 1
Zn2 Zn 0.226 0.500 0.393 1
```

What did the first record say?
Ba2MgZn: optimized geometry, PBE.

Properties
DOS(E_F) = 2.58 states/eV/cell
Formation energy from the elements = -21 meV/atom
E = -6.80 eV per cell

Geometry as CIF:
```
data_Ba2MgZn
_chemical_formula_sum 'Ba2 Mg1 Zn1'
_cell_length_a 4.070
_cell_length_b 4.070
_cell_length_c 9.386
_cell_angle_alpha 90.00
_cell_angle_beta 90.00
_cell_angle_gamma 90.00
_space_group_name_H-M_alt 'P 4 m m'
_space_group_IT_number 99
_space_group_name_Hall 'P 4 -2'
loop_
_atom_site_label
_atom_site_type_symbol
_atom_site_fract_x
_atom_site_fract_y
_atom_site_fract_z
_atom_site_occupancy
Ba1 Ba 0.000 0.000 0.000 1
Ba2 Ba 0.500 0.500 0.393 1
Mg1 Mg 0.000 0.000 0.637 1
Zn1 Zn 0.500 0.500 0.771 1
```

> The lowest formation energy from the elements belongs to which entry?

Ba2MgZn5